The following is a DFT calculation (GGA+U) of a relaxed CrFeNO2 crystal.

Cell lengths 3.7406, 3.7406, 3.9063 Å; angles 90.00, 90.00, 90.00 degrees
Space group P4/mmm (No. 123)
Asymmetric unit:
Cr 0.0000 0.0000 0.0000 x1
Fe 0.5000 0.5000 0.5000 x1
N 0.5000 0.5000 0.0000 x1
O 0.0000 0.5000 0.5000 x2

Computed properties:
E   -6.3499 eV/atom
Magnetization   7.0 μB/f.u.
Fermi-level density of states   2.2 states/eV/cell